Compound: NaSrZrVO6
Source: the Alexandria database
Functional: PBE+U
Structure: optimized geometry

Cell: 5.6489 5.6489 5.6489 Å, 60.00 60.00 60.00°
With the nearest neighbours (Å) after each atom.
Element x y z (fractional)
1 Na 0.0000 0.0000 0.0000  12 O 2.83
2 Sr 0.5000 0.5000 0.5000  12 O 2.83
3 Zr 0.2500 0.2500 0.2500  6 O 2.10
4 V 0.7500 0.7500 0.7500  6 O 1.90
5 O 0.5123 0.5123 0.9877  1 V 1.90, 1 Zr 2.10
6 O 0.5123 0.9877 0.5123  1 V 1.90, 1 Zr 2.10
7 O 0.5123 0.9877 0.9877  1 V 1.90, 1 Zr 2.10
8 O 0.9877 0.5123 0.5123  1 V 1.90, 1 Zr 2.10
9 O 0.9877 0.5123 0.9877  1 V 1.90, 1 Zr 2.10
10 O 0.9877 0.9877 0.5123  1 V 1.90, 1 Zr 2.10

Computed properties:
Total magnetic moment = 0.0000 μB/atom
DFT total energy = -7.41 eV/atom
Theoretical density = 4.544 g/cm3